Compound: SmPO4
Source: the Open Quantum Materials Database
Functional: PBE-GGA
Structure: relaxed

Lattice parameters (Å, degrees): 10.335 10.335 10.335 129.00 129.00 75.01
Sites, in units of the cell vectors:
Sm 0.125 0.375 0.750
Sm 0.125 0.875 0.250
Sm 0.375 0.125 0.250
Sm 0.375 0.625 0.750
Sm 0.625 0.375 0.250
Sm 0.625 0.875 0.750
Sm 0.875 0.125 0.750
Sm 0.875 0.625 0.250
P 0.210 0.250 0.460
P 0.250 0.290 0.040
P 0.250 0.790 0.540
P 0.290 0.750 0.040
P 0.710 0.250 0.960
P 0.750 0.210 0.460
P 0.750 0.710 0.960
P 0.790 0.750 0.540
O 0.098 0.874 0.475
O 0.101 0.377 0.975
O 0.115 0.672 0.947
O 0.123 0.399 0.525
O 0.126 0.101 0.224
O 0.168 0.115 0.943
O 0.172 0.615 0.447
O 0.225 0.168 0.553
O 0.275 0.828 0.943
O 0.328 0.775 0.443
O 0.332 0.275 0.947
O 0.374 0.598 0.975
O 0.377 0.902 0.276
O 0.385 0.332 0.557
O 0.399 0.374 0.276
O 0.402 0.877 0.776
O 0.598 0.123 0.224
O 0.601 0.626 0.724
O 0.615 0.668 0.443
O 0.623 0.098 0.724
O 0.626 0.402 0.025
O 0.668 0.725 0.053
O 0.672 0.225 0.557
O 0.725 0.172 0.057
O 0.775 0.832 0.447
O 0.828 0.385 0.553
O 0.832 0.885 0.057
O 0.874 0.899 0.776
O 0.877 0.601 0.475
O 0.885 0.328 0.053
O 0.899 0.623 0.025
O 0.902 0.126 0.525

The volume is 649.2 Å³/cell. Its space-group type is No. 142. For the energy, the calculation gives -7.88 eV/atom.

***

Compound: Al3Re
Source: the Open Quantum Materials Database
Functional: PBE-GGA
Structure: relaxed

Lattice parameters (Å, degrees): 4.369 4.369 4.369 60.00 60.00 60.00
Sites, in units of the cell vectors:
Al 0.000 0.000 0.000
Al 0.250 0.250 0.250
Al 0.750 0.750 0.750
Re 0.500 0.500 0.500

The volume is 59.0 Å³/cell. Its space-group type is No. 225. For the energy, the calculation gives -5.84 eV/atom.

***

Compound: LiTcNiB
Source: the Open Quantum Materials Database
Functional: PBE-GGA
Structure: relaxed

Lattice parameters (Å, degrees): 3.917 3.917 3.917 60.00 60.00 60.00
Sites, in units of the cell vectors:
Li 0.000 0.000 0.000
Tc 0.750 0.750 0.750
Ni 0.500 0.500 0.500
B 0.250 0.250 0.250

The volume is 42.5 Å³/cell. Its space-group type is No. 216. For the energy, the calculation gives -5.60 eV/atom.

***

Q: The lowest volume belongs to which entry?
A: LiTcNiB

***

Q: energy of number 2 (Al3Re)?
A: -5.84 eV/atom